The following is a PBEsol calculation of CdBiTe2 after structural relaxation, from Alexandria via LeMat-Bulk.

Summary:
The value obtained for the total magnetic moment is 0.0 μB/f.u. Its final energy is -3.12 eV per atom. The raw formation energy is 0.1 eV/f.u.

Cell: 6.259 6.259 15.696 Å, 90.00 90.00 90.00°
Space group I-42d (No. 122)
Inequivalent atoms, fractional coordinates:
Cd (0.000, 0.000, 0.000) x4
Bi (0.000, 0.000, 0.500) x4
Te (0.225, 0.250, 0.125) x8

The following is a PBEsol calculation of AlTeRh2 after structural relaxation, from Alexandria via LeMat-Bulk.

Summary:
The value obtained for the total magnetic moment is 0.0 μB/f.u. Its final energy is -6.41 eV per atom. The raw formation energy is -1.7 eV/f.u. For the polymorph energy (0 for the lowest one), the calculation gives 0 meV/atom.

Cell: 3.061 3.061 6.683 Å, 90.00 90.00 90.00°
Space group P4/mmm (No. 123)
Inequivalent atoms, fractional coordinates:
Al (0.000, 0.000, 0.000) x1
Te (0.000, 0.000, 0.500) x1
Rh (0.500, 0.500, 0.216) x2

The following is a PBEsol calculation of SrRe2OsRh after structural relaxation, from Alexandria via LeMat-Bulk.

Summary:
The formation enthalpy at 0 K comes out at 1.4664 eV/atom. The value obtained for the total magnetic moment is 0.5 μB/f.u. Its final energy is -8.31 eV per atom.

Cell: 4.725 4.725 4.847 Å, 90.00 90.00 90.00°
Space group P4/mmm (No. 123)
Inequivalent atoms, fractional coordinates:
Sr (0.000, 0.000, 0.000) x1
Re (0.000, 0.500, 0.500) x2
Os (0.500, 0.500, 0.500) x1
Rh (0.500, 0.500, 0.000) x1

The following is a PBEsol calculation of LiCuNi2 after structural relaxation, from Alexandria via LeMat-Bulk.

Summary:
The formation enthalpy at 0 K comes out at 0.0342 eV/atom. The value obtained for the total magnetic moment is 0.5 μB/f.u. Its final energy is -4.62 eV per atom.

Cell: 2.423 3.615 4.925 Å, 90.00 90.00 90.00°
Space group Pmm2 (No. 25)
Inequivalent atoms, fractional coordinates:
Li (0.000, 0.000, 0.000) x1
Cu (0.500, 0.500, 0.751) x1
Ni (0.000, 0.000, 0.490) x1
Ni (0.500, 0.500, 0.264) x1

The following is a PBEsol calculation of ZrBeCl2 after structural relaxation, from Alexandria via LeMat-Bulk.

Summary:
The value obtained for the total magnetic moment is 0.0 μB/f.u. Its final energy is -4.62 eV per atom. The raw formation energy is -1.4 eV/f.u. For the polymorph energy (0 for the lowest one), the calculation gives 423 meV/atom.

Cell: 3.085 3.085 8.732 Å, 90.00 90.00 90.00°
Space group P4/mmm (No. 123)
Inequivalent atoms, fractional coordinates:
Zr (0.000, 0.000, 0.000) x1
Be (0.000, 0.000, 0.500) x1
Cl (0.500, 0.500, 0.175) x2

The following is a PBEsol calculation of NiAg2Ru after structural relaxation, from Alexandria via LeMat-Bulk.

Summary:
The formation enthalpy at 0 K comes out at 0.5619 eV/atom. The value obtained for the total magnetic moment is 2.2 μB/f.u. Its final energy is -5.18 eV per atom. For the polymorph energy (0 for the lowest one), the calculation gives 112 meV/atom.

Cell: 3.766 3.766 8.108 Å, 90.00 90.00 90.00°
Space group I4/mmm (No. 139)
Inequivalent atoms, fractional coordinates:
Ni (0.000, 0.000, 0.000) x2
Ag (0.000, 0.500, 0.250) x4
Ru (0.000, 0.000, 0.500) x2

The following is a PBEsol calculation of Li2MgPd2 after structural relaxation, from Alexandria via LeMat-Bulk.

Summary:
The formation enthalpy at 0 K comes out at -0.3981 eV/atom. The value obtained for the total magnetic moment is 0.0 μB/f.u. Its final energy is -3.91 eV per atom. For the polymorph energy (0 for the lowest one), the calculation gives 0 meV/atom.

Cell: 6.968 6.968 2.891 Å, 90.00 90.00 90.00°
Space group P4/mbm (No. 127)
Inequivalent atoms, fractional coordinates:
Li (0.117, 0.383, 0.000) x4
Mg (0.000, 0.000, 0.000) x2
Pd (0.182, 0.682, 0.500) x4

The following is a PBEsol calculation of CaTl2In after structural relaxation, from Alexandria via LeMat-Bulk.

Summary:
The formation enthalpy at 0 K comes out at -0.2520 eV/atom. The value obtained for the total magnetic moment is 0.0 μB/f.u. Its final energy is -2.85 eV per atom.

Cell: 10.312 3.695 5.795 Å, 90.00 102.16 90.00°
Space group C2/m (No. 12)
Inequivalent atoms, fractional coordinates:
Ca (0.000, 0.000, 0.000) x2
Tl (0.245, 0.000, 0.739) x4
In (0.000, 0.500, 0.500) x2

The following is a PBEsol calculation of In3RuF after structural relaxation, from Alexandria via LeMat-Bulk.

Summary:
The value obtained for the total magnetic moment is 0.0 μB/f.u. Its final energy is -4.49 eV per atom. The raw formation energy is -1.4 eV/f.u.

Cell: 5.037 5.037 5.037 Å, 90.00 90.00 90.00°
Space group Pm-3m (No. 221)
Inequivalent atoms, fractional coordinates:
In (0.000, 0.000, 0.500) x3
Ru (0.000, 0.000, 0.000) x1
F (0.500, 0.500, 0.500) x1

The following is a PBEsol calculation of ZrScCd2 after structural relaxation, from Alexandria via LeMat-Bulk.

Summary:
The formation enthalpy at 0 K comes out at -0.1091 eV/atom. The value obtained for the total magnetic moment is 0.0 μB/f.u. Its final energy is -4.63 eV per atom. For the polymorph energy (0 for the lowest one), the calculation gives 105 meV/atom.

Cell: 3.233 4.150 6.284 Å, 90.00 90.00 90.00°
Space group Pmm2 (No. 25)
Inequivalent atoms, fractional coordinates:
Zr (0.000, 0.000, 0.000) x1
Sc (0.500, 0.500, 0.738) x1
Cd (0.000, 0.000, 0.496) x1
Cd (0.500, 0.500, 0.242) x1

The following is a PBEsol calculation of Zr2ScZn after structural relaxation, from Alexandria via LeMat-Bulk.

Summary:
The formation enthalpy at 0 K comes out at -0.0983 eV/atom. The value obtained for the total magnetic moment is 0.0 μB/f.u. Its final energy is -6.69 eV per atom.

Cell: 3.295 4.832 10.134 Å, 90.00 90.00 90.00°
Space group Imm2 (No. 44)
Inequivalent atoms, fractional coordinates:
Zr (0.000, 0.000, 0.000) x2
Zr (0.000, 0.500, 0.220) x2
Sc (0.000, 0.500, 0.780) x2
Zn (0.000, 0.000, 0.497) x2

The following is a PBEsol calculation of Sr2CoCl2O2 after structural relaxation, from Alexandria via LeMat-Bulk.

Summary:
The value obtained for the total magnetic moment is 2.3 μB/f.u. Its final energy is -5.79 eV per atom. The raw formation energy is -14.6 eV/f.u. For the polymorph energy (0 for the lowest one), the calculation gives 14 meV/atom.

Cell: 3.976 3.976 15.081 Å, 90.00 90.00 90.00°
Space group I4/mmm (No. 139)
Inequivalent atoms, fractional coordinates:
Sr (0.000, 0.000, 0.107) x4
Co (0.000, 0.000, 0.500) x2
Cl (0.000, 0.000, 0.321) x4
O (0.000, 0.500, 0.000) x4